[1]
Sr2TlZnPt after structural relaxation. Source: Alexandria via LeMat-Bulk, functional PBE.

Properties
The total energy is -3.027 eV/atom.

Cell lengths 5.842, 5.842, 4.917 Å; angles 90.00, 90.00, 90.00 degrees
Sites, in units of the cell vectors:
1 Tl 0.500 0.500 0.500
2 Pt 0.000 0.000 0.000
3 Sr 0.000 0.500 0.000
4 Sr 0.500 0.000 0.000
5 Zn 0.000 0.000 0.500



[2]
LiAl after structural relaxation. Source: Alexandria via LeMat-Bulk, functional PBE.

Properties
The total energy is -2.905 eV/atom.

Cell lengths 2.843, 2.843, 9.234 Å; angles 90.00, 90.00, 120.00 degrees
Sites, in units of the cell vectors:
1 Al 0.667 0.333 0.750
2 Al 0.333 0.667 0.250
3 Li 0.000 0.000 0.000
4 Li 0.000 0.000 0.500



[3]
AlPt2Br after structural relaxation. Source: Alexandria via LeMat-Bulk, functional PBE.

Properties
The uncorrected formation energy comes out at 0.08 eV per atom. The total energy is -4.295 eV/atom. The energy above the lowest structure with this stoichiometry is 520 meV/atom.

Cell lengths 3.938, 5.292, 4.136 Å; angles 67.44, 88.92, 111.39 degrees
Sites, in units of the cell vectors:
1 Al 0.000 0.500 0.500
2 Br 0.500 0.500 0.000
3 Pt 0.000 0.000 0.000
4 Pt 0.500 0.000 0.500



[4]
Nd2ThGe after structural relaxation. Source: Alexandria via LeMat-Bulk, functional PBE.

Properties
The total energy is -5.378 eV/atom. The energy above the lowest structure with this stoichiometry is 315 meV/atom.

Cell lengths 3.568, 3.568, 11.490 Å; angles 81.07, 81.07, 60.00 degrees
Sites, in units of the cell vectors:
1 Nd 0.102 0.102 0.694
2 Nd 0.898 0.898 0.306
3 Th 0.000 0.000 0.000
4 Ge 0.500 0.500 0.500



[5]
CeGdScPa after structural relaxation. Source: Alexandria via LeMat-Bulk, functional PBE.

Properties
The total energy is -8.642 eV/atom.

Cell lengths 5.377, 5.377, 5.377 Å; angles 60.00, 60.00, 60.00 degrees
Each line ends with the local moment (μB).
Sites, in units of the cell vectors:
1 Ce 0.500 0.500 0.500  0.69
2 Gd 0.750 0.750 0.750  7.30
3 Pa 0.250 0.250 0.250  0.81
4 Sc 0.000 0.000 0.000  0.14



[6]
Tb3PmAu2 after structural relaxation. Source: Alexandria via LeMat-Bulk, functional PBE.

Properties
The total energy is -4.686 eV/atom. The energy above the lowest structure with this stoichiometry is 75 meV/atom.

Cell lengths 5.233, 9.452, 8.598 Å; angles 124.32, 90.00, 106.07 degrees
Sites, in units of the cell vectors:
1 Tb 0.307 0.613 0.614
2 Au 0.218 0.436 0.814
3 Au 0.501 0.002 0.838
4 Tb 0.693 0.387 0.386
5 Tb 0.063 0.126 0.393
6 Pm 0.863 0.727 0.932
7 Tb 0.376 0.751 0.263
8 Tb 0.624 0.249 0.737
9 Au 0.782 0.564 0.186
10 Pm 0.137 0.273 0.068
11 Tb 0.937 0.874 0.607
12 Au 0.499 0.998 0.162



[7]
PW2Se after structural relaxation. Source: Alexandria via LeMat-Bulk, functional PBE.

Properties
The uncorrected formation energy comes out at 0.58 eV per atom. The total energy is -8.119 eV/atom. The energy above the lowest structure with this stoichiometry is 551 meV/atom.

Cell lengths 4.772, 4.772, 4.772 Å; angles 129.90, 129.90, 73.57 degrees
Sites, in units of the cell vectors:
1 W 0.000 0.000 0.000
2 W 0.250 0.750 0.500
3 Se 0.750 0.250 0.500
4 P 0.500 0.500 0.000



[8]
Th8OsRh5 after structural relaxation. Source: Alexandria via LeMat-Bulk, functional PBE.

Properties
The total energy is -8.370 eV/atom.

Cell lengths 7.701, 7.701, 7.701 Å; angles 109.58, 109.25, 109.58 degrees
Sites, in units of the cell vectors:
1 Th 0.236 0.255 0.377
2 Th 0.618 0.359 0.873
3 Rh 0.879 0.871 0.249
4 Rh 0.992 0.370 0.121
5 Rh 0.378 0.129 0.008
6 Th 0.741 0.256 0.382
7 Th 0.623 0.859 0.878
8 Th 0.019 0.141 0.764
9 Rh 0.500 0.000 0.500
10 Th 0.122 0.745 0.981
11 Os 0.250 0.500 0.750
12 Th 0.127 0.744 0.486
13 Th 0.514 0.641 0.259
14 Rh 0.751 0.630 0.622



[9]
TlTe2Ir after structural relaxation. Source: Alexandria via LeMat-Bulk, functional PBE.

Properties
The uncorrected formation energy comes out at 0.79 eV per atom. The total energy is -3.585 eV/atom. The energy above the lowest structure with this stoichiometry is 1018 meV/atom.

Cell lengths 9.077, 9.077, 9.077 Å; angles 27.38, 27.38, 27.38 degrees
Each line ends with the local moment (μB).
Sites, in units of the cell vectors:
1 Te 0.905 0.905 0.905  -0.01
2 Te 0.095 0.095 0.095  -0.01
3 Ir 0.000 0.000 0.000  0.99
4 Tl 0.500 0.500 0.500  -0.01



[10]
Sr4Al3Pt2 after structural relaxation. Source: Alexandria via LeMat-Bulk, functional PBE.

Properties
The total energy is -3.934 eV/atom.

Cell lengths 4.138, 7.619, 8.684 Å; angles 107.56, 103.78, 90.00 degrees
Sites, in units of the cell vectors:
1 Pt 0.587 0.448 0.174
2 Sr 0.579 0.883 0.159
3 Sr 0.768 0.311 0.536
4 Pt 0.413 0.552 0.826
5 Al 0.000 0.500 0.000
6 Al 0.903 0.741 0.807
7 Sr 0.421 0.117 0.841
8 Sr 0.232 0.689 0.464
9 Al 0.097 0.259 0.193



[11]
Cs2PSe2F4 after structural relaxation. Source: Alexandria via LeMat-Bulk, functional PBE.

Properties
The uncorrected formation energy comes out at -1.77 eV per atom. The total energy is -4.171 eV/atom.

Cell lengths 6.708, 6.708, 6.708 Å; angles 101.18, 113.77, 113.77 degrees
Each line ends with the local moment (μB).
Sites, in units of the cell vectors:
1 F 0.331 0.166 0.166  0.01
2 F 0.000 0.834 0.166  0.01
3 F 0.669 0.834 0.834  0.01
4 P 0.000 0.000 0.000  -0.01
5 Cs 0.500 0.750 0.250  0.01
6 F 0.000 0.166 0.834  0.01
7 Se 0.000 0.273 0.273  0.28
8 Cs 0.500 0.250 0.750  0.01
9 Se 0.000 0.727 0.727  0.28



[12]
Pr5Pt4O after structural relaxation. Source: Alexandria via LeMat-Bulk, functional PBE.

Properties
The uncorrected formation energy comes out at -1.30 eV per atom. The total energy is -6.601 eV/atom.

Cell lengths 5.951, 7.168, 7.168 Å; angles 80.08, 65.47, 65.47 degrees
Sites, in units of the cell vectors:
1 Pt 0.196 0.214 0.396
2 Pr 0.100 0.621 0.179
3 Pr 0.451 0.000 0.000
4 Pt 0.410 0.396 0.786
5 O 0.056 0.000 0.000
6 Pt 0.806 0.786 0.604
7 Pt 0.592 0.604 0.214
8 Pr 0.279 0.821 0.621
9 Pr 0.721 0.179 0.379
10 Pr 0.900 0.379 0.821



[13]
Sc2Co2Cu after structural relaxation. Source: Alexandria via LeMat-Bulk, functional PBE.

Properties
The total energy is -6.223 eV/atom. The energy above the lowest structure with this stoichiometry is 211 meV/atom.

Cell lengths 3.327, 3.327, 7.813 Å; angles 77.71, 77.71, 90.00 degrees
Each line ends with the local moment (μB).
Sites, in units of the cell vectors:
1 Co 0.250 0.750 0.500  1.25
2 Co 0.750 0.250 0.500  1.25
3 Sc 0.608 0.608 0.783  -0.12
4 Sc 0.392 0.392 0.217  -0.12
5 Cu 0.000 0.000 0.000  -0.01



[14]
PHOsO after structural relaxation. Source: Alexandria via LeMat-Bulk, functional PBE.

Properties
The total energy is -6.643 eV/atom. The energy above the lowest structure with this stoichiometry is 75 meV/atom.

Cell lengths 4.855, 3.034, 6.314 Å; angles 90.00, 101.10, 90.00 degrees
Sites, in units of the cell vectors:
1 O 0.102 0.500 0.229
2 H 0.856 0.000 0.995
3 O 0.102 0.000 0.729
4 H 0.856 0.500 0.495
5 P 0.426 0.000 0.777
6 Os 0.689 0.000 0.516
7 Os 0.689 0.500 0.016
8 P 0.426 0.500 0.277



[15]
Tc4Os after structural relaxation. Source: Alexandria via LeMat-Bulk, functional PBE.

Properties
The total energy is -9.103 eV/atom. The energy above the lowest structure with this stoichiometry is 1374 meV/atom.

Cell lengths 4.935, 4.935, 4.935 Å; angles 109.47, 109.47, 109.47 degrees
Sites, in units of the cell vectors:
1 Tc 0.000 0.000 0.500
2 Tc 0.500 0.000 0.000
3 Tc 0.500 0.500 0.500
4 Tc 0.000 0.500 0.000
5 Os 0.000 0.000 0.000



[16]
PmGa3Os after structural relaxation. Source: Alexandria via LeMat-Bulk, functional PBE.

Properties
The total energy is -5.250 eV/atom. The energy above the lowest structure with this stoichiometry is 225 meV/atom.

Cell lengths 4.768, 4.768, 4.768 Å; angles 90.00, 90.00, 90.00 degrees
Sites, in units of the cell vectors:
1 Ga 0.000 0.000 0.500
2 Pm 0.500 0.500 0.500
3 Ga 0.500 0.000 0.000
4 Os 0.000 0.000 0.000
5 Ga 0.000 0.500 0.000



[17]
Tb3YTl4 after structural relaxation. Source: Alexandria via LeMat-Bulk, functional PBE.

Properties
The total energy is -4.091 eV/atom. The energy above the lowest structure with this stoichiometry is 0 meV/atom.

Cell lengths 3.805, 3.805, 15.192 Å; angles 90.00, 90.00, 90.00 degrees
Sites, in units of the cell vectors:
1 Tl 0.000 0.000 0.124
2 Tb 0.500 0.500 0.250
3 Y 0.500 0.500 0.000
4 Tl 0.000 0.000 0.375
5 Tb 0.500 0.500 0.750
6 Tl 0.000 0.000 0.625
7 Tb 0.500 0.500 0.500
8 Tl 0.000 0.000 0.876



[18]
ZrNbPb2Cl after structural relaxation. Source: Alexandria via LeMat-Bulk, functional PBE.

Properties
The uncorrected formation energy comes out at 0.38 eV per atom. The total energy is -5.192 eV/atom.

Cell lengths 5.534, 5.103, 5.534 Å; angles 90.00, 90.00, 90.00 degrees
Sites, in units of the cell vectors:
1 Zr 0.000 0.500 0.000
2 Cl 0.500 0.500 0.500
3 Pb 0.500 0.000 0.000
4 Nb 0.000 0.000 0.000
5 Pb 0.000 0.000 0.500



[19]
Hg2PI2F4 after structural relaxation. Source: Alexandria via LeMat-Bulk, functional PBE.

Properties
The uncorrected formation energy comes out at -1.25 eV per atom. The total energy is -3.097 eV/atom.

Cell lengths 5.159, 7.543, 7.543 Å; angles 49.21, 85.68, 85.68 degrees
Sites, in units of the cell vectors:
1 Hg 0.805 0.843 0.843
2 I 0.179 0.678 0.678
3 P 0.500 0.000 0.000
4 Hg 0.195 0.157 0.157
5 F 0.683 0.232 0.860
6 F 0.317 0.768 0.140
7 I 0.821 0.322 0.322
8 F 0.683 0.860 0.232
9 F 0.317 0.140 0.768



[20]
SrIn3 after structural relaxation. Source: Alexandria via LeMat-Bulk, functional PBE.

Properties
The total energy is -2.724 eV/atom.

Cell lengths 3.977, 3.977, 7.545 Å; angles 90.00, 90.00, 89.81 degrees
Sites, in units of the cell vectors:
1 In 0.000 0.000 0.541
2 Sr 0.500 0.500 0.250
3 In 0.000 0.000 0.959
4 In 0.500 0.500 0.750



[21]
KAcU2O8 after structural relaxation. Source: Alexandria via LeMat-Bulk, functional PBE.

Properties
The uncorrected formation energy comes out at -2.96 eV per atom. The total energy is -8.576 eV/atom.

Cell lengths 5.714, 5.714, 6.786 Å; angles 114.90, 114.90, 90.00 degrees
Sites, in units of the cell vectors:
1 O 0.400 0.393 0.215
2 O 0.370 0.853 0.294
3 U 0.500 0.500 0.000
4 K 0.000 0.000 0.000
5 U 0.250 0.750 0.500
6 Ac 0.750 0.250 0.500
7 O 0.147 0.076 0.706
8 O 0.559 0.630 0.706
9 O 0.924 0.441 0.294
10 O 0.815 0.822 0.215
11 O 0.607 0.185 0.785
12 O 0.178 0.600 0.785



[22]
LaNd2CuSe5 after structural relaxation. Source: Alexandria via LeMat-Bulk, functional PBE.

Properties
The uncorrected formation energy comes out at -1.59 eV per atom. The total energy is -5.593 eV/atom.

Cell lengths 4.117, 9.592, 12.043 Å; angles 90.00, 90.00, 102.39 degrees
Sites, in units of the cell vectors:
1 Se 0.325 0.650 0.336
2 Se 0.360 0.721 0.002
3 Se 0.498 0.997 0.780
4 Nd 0.900 0.800 0.183
5 La 0.196 0.392 0.010
6 Se 0.675 0.350 0.836
7 Se 0.956 0.912 0.561
8 Cu 0.564 0.128 0.954
9 Cu 0.436 0.872 0.454
10 Nd 0.100 0.200 0.683
11 Se 0.044 0.088 0.061
12 Se 0.502 0.003 0.280
13 Se 0.640 0.279 0.502
14 La 0.804 0.608 0.510
15 Nd 0.887 0.773 0.810
16 Nd 0.113 0.227 0.310
17 Se 0.705 0.410 0.189
18 Se 0.295 0.590 0.689



[23]
Li2DyGaI6 after structural relaxation. Source: Alexandria via LeMat-Bulk, functional PBE.

Properties
The uncorrected formation energy comes out at -1.08 eV per atom. The total energy is -3.154 eV/atom.

Cell lengths 7.713, 7.713, 8.393 Å; angles 62.65, 62.65, 60.00 degrees
Sites, in units of the cell vectors:
1 Li 0.004 0.004 0.988
2 I 0.916 0.593 0.241
3 Dy 0.326 0.326 0.023
4 I 0.593 0.250 0.241
5 I 0.380 0.739 0.754
6 Ga 0.818 0.818 0.545
7 Li 0.509 0.508 0.475
8 I 0.740 0.127 0.754
9 I 0.250 0.916 0.241
10 I 0.127 0.380 0.754



[24]
Tb2Nd6Y3 after structural relaxation. Source: Alexandria via LeMat-Bulk, functional PBE.

Properties
The total energy is -4.919 eV/atom. The energy above the lowest structure with this stoichiometry is 276 meV/atom.

Cell lengths 4.823, 4.823, 17.209 Å; angles 98.05, 98.05, 90.00 degrees
Sites, in units of the cell vectors:
1 Y 0.201 0.201 0.402
2 Tb 0.455 0.455 0.910
3 Y 0.799 0.799 0.598
4 Tb 0.545 0.545 0.090
5 Nd 0.881 0.381 0.761
6 Nd 0.119 0.619 0.239
7 Nd 0.304 0.304 0.609
8 Nd 0.619 0.119 0.239
9 Y 0.000 0.000 0.000
10 Nd 0.381 0.881 0.761
11 Nd 0.696 0.696 0.391



[25]
Mg2AgSn after structural relaxation. Source: Alexandria via LeMat-Bulk, functional PBE.

Properties
The total energy is -2.509 eV/atom.

Cell lengths 3.234, 3.234, 10.403 Å; angles 81.06, 81.06, 60.00 degrees
Sites, in units of the cell vectors:
1 Mg 0.904 0.904 0.289
2 Ag 0.500 0.500 0.500
3 Sn 0.000 0.000 0.000
4 Mg 0.096 0.096 0.711